(1)
NaAs2OsBr: relaxed, PBE.

POSCAR file:
```
NaAs2OsBr
1.0
4.702 0.000 0.000
0.000 4.702 0.000
0.000 0.000 6.007
Na As Os Br
1 2 1 1
Direct
0.500 0.500 0.500
0.000 0.500 0.000
0.500 0.000 0.000
0.000 0.000 0.000
0.000 0.000 0.500
```

Properties
* space-group type: P4/mmm (123)
* formation energy without anion corrections: 0.098 eV per atom
* theoretical density: 5.5 g/cm3

***

(2)
NaAsOsBr2: relaxed, PBE.

POSCAR file:
```
NaAsOsBr2
1.0
5.416 0.000 0.000
0.000 5.416 0.000
0.000 0.000 4.637
Na As Os Br
1 1 1 2
Direct
0.500 0.500 0.500
0.000 0.000 0.500
0.000 0.000 0.000
0.000 0.500 0.000
0.500 0.000 0.000
```

Properties
* space-group type: P4/mmm (123)
* formation energy without anion corrections: 0.023 eV per atom
* theoretical density: 5.5 g/cm3

***

(3)
NaAsPBr2: relaxed, PBE.

POSCAR file:
```
NaAsPBr2
1.0
-1.046 4.864 -2.335
-4.213 -2.222 -2.742
-2.904 1.092 3.577
P As Br Na
1 1 2 1
Direct
0.000 0.000 0.000
0.000 0.000 0.500
0.000 0.500 0.000
0.500 0.000 0.000
0.500 0.500 0.500
```

Properties
* space-group type: P4/mmm (123)
* formation energy without anion corrections: -0.098 eV per atom
* theoretical density: 3.4 g/cm3

***

(4)
NaAsPBr2: relaxed, PBE.

POSCAR file:
```
NaAsPBr2
1.0
5.070 0.000 0.000
0.000 5.070 0.000
0.000 0.000 5.879
P As Br Na
1 1 2 1
Direct
0.500 0.500 0.500
0.000 0.000 0.500
0.000 0.500 0.000
0.500 0.000 0.000
0.000 0.000 0.000
```

Properties
* space-group type: P4/mmm (123)
* formation energy without anion corrections: 0.781 eV per atom
* theoretical density: 3.2 g/cm3

***

(5)
NaAsPbBr2: relaxed, PBE.

POSCAR file:
```
NaAsPbBr2
1.0
5.258 0.000 0.000
0.000 5.258 0.000
0.000 0.000 5.681
Pb Na As Br
1 1 1 2
Direct
0.500 0.500 0.500
0.000 0.000 0.000
0.000 0.000 0.500
0.000 0.500 0.000
0.500 0.000 0.000
```

Properties
* space-group type: P4/mmm (123)
* formation energy without anion corrections: -0.078 eV per atom
* theoretical density: 4.9 g/cm3

***

(6)
NaAs2PbBr: relaxed, PBE.

POSCAR file:
```
NaAs2PbBr
1.0
-4.933 1.150 0.804
0.381 -1.730 4.813
1.441 5.002 1.684
Pb Na As Br
1 1 2 1
Direct
0.500 0.500 0.500
0.000 0.000 0.000
0.000 0.500 0.000
0.500 0.000 0.000
0.000 0.000 0.500
```

Properties
* space-group type: P4/mmm (123)
* formation energy without anion corrections: 0.461 eV per atom
* theoretical density: 5.3 g/cm3

***

(7)
NaAsPbBr2: relaxed, PBE.

POSCAR file:
```
NaAsPbBr2
1.0
-3.348 -4.905 -0.552
4.414 -2.676 -2.988
2.101 -1.983 4.880
Pb Na As Br
1 1 1 2
Direct
0.000 0.000 0.000
0.500 0.500 0.500
0.000 0.000 0.500
0.000 0.500 0.000
0.500 0.000 0.000
```

Properties
* space-group type: P4/mmm (123)
* formation energy without anion corrections: -0.292 eV per atom
* theoretical density: 3.8 g/cm3

***

(8)
NaAs2PbBr: relaxed, PBE.

POSCAR file:
```
NaAs2PbBr
1.0
-4.457 2.757 1.604
-0.825 -3.659 3.996
3.438 3.357 3.783
Pb Na As Br
1 1 2 1
Direct
0.000 0.000 0.000
0.500 0.500 0.500
0.000 0.500 0.000
0.500 0.000 0.000
0.000 0.000 0.500
```

Properties
* space-group type: P4/mmm (123)
* formation energy without anion corrections: 0.245 eV per atom
* theoretical density: 4.2 g/cm3

***

(9)
NaAs2PdBr: relaxed, PBE.

POSCAR file:
```
NaAs2PdBr
1.0
-0.969 -2.734 3.637
4.550 -0.602 0.760
0.041 6.522 4.914
Na As Br Pd
1 2 1 1
Direct
0.500 0.500 0.500
0.000 0.500 0.000
0.500 0.000 0.000
0.000 0.000 0.500
0.000 0.000 0.000
```

Properties
* space-group type: P4/mmm (123)
* formation energy without anion corrections: -0.067 eV per atom
* theoretical density: 3.4 g/cm3

***

(10)
NaAs2PdBr: relaxed, PBE.

POSCAR file:
```
NaAs2PdBr
1.0
5.050 0.000 0.000
0.000 5.050 0.000
0.000 0.000 5.100
Na As Br Pd
1 2 1 1
Direct
0.000 0.000 0.000
0.000 0.500 0.000
0.500 0.000 0.000
0.000 0.000 0.500
0.500 0.500 0.500
```

Properties
* space-group type: P4/mmm (123)
* formation energy without anion corrections: 0.967 eV per atom
* theoretical density: 4.6 g/cm3

***

(11)
NaAs2PtBr: relaxed, PBE.

POSCAR file:
```
NaAs2PtBr
1.0
5.041 0.000 0.000
0.000 5.041 0.000
0.000 0.000 4.905
Na As Br Pt
1 2 1 1
Direct
0.000 0.000 0.000
0.000 0.500 0.000
0.500 0.000 0.000
0.000 0.000 0.500
0.500 0.500 0.500
```

Properties
* space-group type: P4/mmm (123)
* formation energy without anion corrections: 1.189 eV per atom
* theoretical density: 6.0 g/cm3

***

(12)
NaAs2PtBr: relaxed, PBE.

POSCAR file:
```
NaAs2PtBr
1.0
4.664 0.000 0.000
0.000 4.664 0.000
0.000 0.000 9.085
Na As Br Pt
1 2 1 1
Direct
0.500 0.500 0.500
0.000 0.500 0.000
0.500 0.000 0.000
0.000 0.000 0.500
0.000 0.000 0.000
```

Properties
* space-group type: P4/mmm (123)
* formation energy without anion corrections: -0.073 eV per atom
* theoretical density: 3.8 g/cm3

***

(13)
RbNaAs2Br: relaxed, PBE.

POSCAR file:
```
RbNaAs2Br
1.0
6.585 0.000 0.000
0.000 6.585 0.000
0.000 0.000 6.381
Na As Br Rb
1 2 1 1
Direct
0.500 0.500 0.500
0.000 0.500 0.000
0.500 0.000 0.000
0.000 0.000 0.500
0.000 0.000 0.000
```

Properties
* space-group type: P4/mmm (123)
* formation energy without anion corrections: 0.499 eV per atom
* theoretical density: 2.0 g/cm3